{
  "formula": "LiTcW2",
  "functional": "PBE-GGA",
  "state": "relaxed",
  "sg": "C2/m",
  "magmom_total_mub_per_cell": 0.00,
  "lattice_angstrom": [[-2.1440, 4.7283, -0.1379], [-1.5109, -3.1878, 3.8115], [1.2365, 1.1253, 2.0572]],
  "species": ["Li", "Tc", "W", "W"],
  "fractional_positions": [[0.5000, 0.0000, 0.5000], [0.0000, 0.5000, 0.5000], [0.0000, 0.0000, 0.0000], [0.5000, 0.5000, 0.0000]]
}



{
  "formula": "LiTcW",
  "functional": "PBE-GGA",
  "state": "relaxed",
  "sg": "Imm2",
  "magmom_total_mub_per_cell": 0.00,
  "lattice_angstrom": [[4.6414, -0.0006, 0.0021], [1.8881, 4.2400, -0.0021], [-2.6048, -3.1360, 2.2187]],
  "species": ["Li", "Tc", "W"],
  "fractional_positions": [[0.0001, 0.0001, 0.0000], [0.3352, 0.3352, 0.0000], [0.6648, 0.6648, 0.0000]]
}



no.,E_form (eV/atom),energy above the lowest structure with this stoichiometry (meV per atom)
1,0.288,33.4
2,0.282,97.9